Y2TmGa2 | GGA-PBE | optimized geometry

Values from the calculation:
energy of formation = -0.49 eV/atom
offset from the most stable computed form = 66 meV per atom
symmetry = C2/m, No. 12
theoretical density = 6.4 g/cm³

The structure in POSCAR format:
```
Y2TmGa2
1.0
-2.8367 -3.2435 -1.7506
-0.3262 -5.1126 3.8228
-8.3565 1.8454 3.9435
Y Ga Tm
4 4 2
Cartesian
-1.7933 -2.2410 0.8795
-7.2134 -2.1295 3.2773
-4.3060 -4.3813 2.7384
-9.7261 -4.2698 5.1362
-10.3884 -2.3530 2.6580
-7.5221 -5.2274 3.3389
-1.1310 -4.1577 3.3577
-3.9973 -1.2834 2.6768
-6.2833 -4.3066 5.8041
-5.2361 -2.2041 0.2116
```